An optimized crystal structure of SrSmGd4. Source: Alexandria via LeMat-Bulk, functional GGA-PBE.

Calculated values
As for the density of states at the Fermi level: 12.63 states/eV per cell. Its theoretical density is 6.49 g/cm³. The energy is -10.207 eV per atom. Its energy relative to the elements is 0.247 eV/atom.

Cell lengths 6.7948, 6.7948, 6.7948 Å; angles 60.00, 60.00, 60.00 degrees
Sites, in units of the cell vectors:
Sr 0.0000 0.0000 0.0000
Sm 0.7500 0.7500 0.7500
Gd 0.3781 0.3781 0.3781
Gd 0.3781 0.3781 0.8657
Gd 0.3781 0.8657 0.3781
Gd 0.8657 0.3781 0.3781


An optimized crystal structure of SrSmGd2. Source: Alexandria via LeMat-Bulk, functional GGA-PBE.

Calculated values
As for the density of states at the Fermi level: 7.04 states/eV per cell. The energy above the most stable polymorph in this dataset comes out at 0 meV per atom. Its theoretical density is 6.23 g/cm³. The energy is -8.543 eV per atom. Its energy relative to the elements is 0.098 eV/atom.

Cell lengths 3.7083, 3.7083, 10.7124 Å; angles 90.00, 90.00, 90.00 degrees
Sites, in units of the cell vectors:
Sr 0.0000 0.0000 0.0000
Sm 0.0000 0.0000 0.5000
Gd 0.5000 0.5000 0.2774
Gd 0.5000 0.5000 0.7226


An optimized crystal structure of SrSmGd. Source: Alexandria via LeMat-Bulk, functional GGA-PBE.

Calculated values
As for the density of states at the Fermi level: 4.65 states/eV per cell. The energy above the most stable polymorph in this dataset comes out at 22 meV per atom. Its theoretical density is 5.70 g/cm³. The energy is -6.703 eV per atom. Its energy relative to the elements is 0.124 eV/atom.

Cell lengths 3.7687, 3.7687, 9.3655 Å; angles 90.00, 90.00, 120.00 degrees
Sites, in units of the cell vectors:
Sr 0.0000 0.0000 0.0000
Sm 0.3333 0.6667 0.6472
Gd 0.6667 0.3333 0.3535


An optimized crystal structure of SrSmGd2. Source: Alexandria via LeMat-Bulk, functional GGA-PBE.

Calculated values
As for the density of states at the Fermi level: 8.38 states/eV per cell. The energy above the most stable polymorph in this dataset comes out at 83 meV per atom. Its theoretical density is 6.31 g/cm³. The energy is -8.460 eV per atom. Its energy relative to the elements is 0.181 eV/atom.

Cell lengths 5.2584, 5.2584, 5.2573 Å; angles 90.00, 90.00, 90.00 degrees
Sites, in units of the cell vectors:
Sr 0.0000 0.0000 0.0000
Sm 0.5000 0.5000 0.0000
Gd 0.0000 0.5000 0.5000
Gd 0.5000 0.0000 0.5000


An optimized crystal structure of Sm2GdTa. Source: Alexandria via LeMat-Bulk, functional GGA-PBE.

Calculated values
As for the density of states at the Fermi level: 6.76 states/eV per cell. Its theoretical density is 9.46 g/cm³. The energy is -8.199 eV per atom. Its energy relative to the elements is 0.644 eV/atom.

Cell lengths 12.0638, 12.0638, 12.0638 Å; angles 15.71, 15.71, 15.71 degrees
Sites, in units of the cell vectors:
Sm 0.0822 0.0822 0.0822
Sm 0.9178 0.9178 0.9178
Gd 0.5000 0.5000 0.5000
Ta 0.0000 0.0000 0.0000


An optimized crystal structure of TbSm2Gd. Source: Alexandria via LeMat-Bulk, functional GGA-PBE.

Calculated values
As for the density of states at the Fermi level: 6.40 states/eV per cell. The energy above the most stable polymorph in this dataset comes out at 0 meV per atom. Its theoretical density is 7.77 g/cm³. The energy is -7.024 eV per atom. Its energy relative to the elements is 0.014 eV/atom.

Cell lengths 5.0897, 5.0897, 5.0893 Å; angles 90.00, 90.00, 90.00 degrees
Sites, in units of the cell vectors:
Tb 0.0000 0.0000 0.0000
Sm 0.0000 0.5000 0.5000
Sm 0.5000 0.0000 0.5000
Gd 0.5000 0.5000 0.0000


The highest energy relative to the elements belongs to which entry?
Sm2GdTa


energy relative to the elements of number 4 (SrSmGd2)?
0.181 eV/atom